one.
4
Lattice="-3.461 -1.407 1.065 -0.886 -1.679 -5.094 2.305 -4.781 1.175" Properties=species:S:1:pos:R:3 comment="YUBi2, optimized geometry, DFT PBE" vol_a3_per_cell=114.8 pbc="T T T"
Y -1.021 -3.934 -1.427
U -1.730 -0.703 0.533
Bi 1.153 -2.391 0.588
Bi -0.443 -0.840 -2.547

two.
4
Lattice="4.434 0.000 0.000 2.217 3.840 0.000 2.217 1.280 7.505" Properties=species:S:1:pos:R:3 comment="YUBi2, optimized geometry, DFT PBE" vol_a3_per_cell=127.8 pbc="T T T"
Y 0.000 0.000 0.000
U 4.434 2.560 3.752
Bi 2.217 1.280 1.855
Bi 6.651 3.840 5.649

Which structure wins on stability? two wins.